(1)
Entry from the Alexandria database: RbU2Pd2S6 after structural relaxation (PBE).

Output
raw formation energy = -94.4 kJ/mol of atoms
VASP energy = -6.315 eV/atom
mass density = 5.82 g cm⁻³
N(E_F) = 9.3 states/eV/f.u.

Unit cell a=7.0363 b=7.0682 c=7.3001 alpha=61.71 beta=67.58 gamma=61.88
Closest atoms and distances in Å follow each position.
Atoms (fractional coordinates):
Rb: 0.0000 0.0000 0.0000  6 S 3.21-3.26
U: 0.0028 0.6640 0.6701  6 S 2.61-2.67
U: 0.9972 0.3360 0.3299  6 S 2.61-2.67
Pd: 0.4480 0.7158 0.3228  3 S 2.35-2.39
Pd: 0.5520 0.2842 0.6772  3 S 2.35-2.39
S: 0.2328 0.5194 0.3534  1 Pd 2.39, 2 U 2.61-2.63
S: 0.2349 0.9214 0.5562  1 Pd 2.37, 2 U 2.65
S: 0.2430 0.3186 0.9549  1 Pd 2.35
S: 0.7570 0.6814 0.0451  1 Pd 2.35
S: 0.7651 0.0786 0.4438  1 Pd 2.37, 2 U 2.65
S: 0.7672 0.4806 0.6466  1 Pd 2.39, 2 U 2.61-2.63


(2)
Entry from the Alexandria database: RbNa2Ca after structural relaxation (PBE).

Output
E above lowest polymorph = 45 meV per atom
VASP energy = -1.273 eV/atom
mass density = 1.47 g cm⁻³
N(E_F) = 2.9 states/eV/f.u.

Unit cell a=9.1760 b=9.1760 c=9.1760 alpha=90.00 beta=90.00 gamma=90.00
Closest atoms and distances in Å follow each position.
Atoms (fractional coordinates):
Rb: 0.0000 0.0000 0.0000  8 Na 3.97
Rb: 0.0000 0.5000 0.5000  8 Na 3.97
Rb: 0.5000 0.0000 0.5000  8 Na 3.97
Rb: 0.5000 0.5000 0.0000  8 Na 3.97
Na: 0.2500 0.2500 0.2500  4 Ca 3.97, 4 Rb 3.97
Na: 0.2500 0.2500 0.7500  4 Ca 3.97, 4 Rb 3.97
Na: 0.2500 0.7500 0.2500  4 Ca 3.97, 4 Rb 3.97
Na: 0.2500 0.7500 0.7500  4 Ca 3.97, 4 Rb 3.97
Na: 0.7500 0.2500 0.2500  4 Ca 3.97, 4 Rb 3.97
Na: 0.7500 0.2500 0.7500  4 Ca 3.97, 4 Rb 3.97
Na: 0.7500 0.7500 0.2500  4 Ca 3.97, 4 Rb 3.97
Na: 0.7500 0.7500 0.7500  4 Ca 3.97, 4 Rb 3.97
Ca: 0.0000 0.0000 0.5000  8 Na 3.97
Ca: 0.0000 0.5000 0.0000  8 Na 3.97
Ca: 0.5000 0.0000 0.0000  8 Na 3.97
Ca: 0.5000 0.5000 0.5000  8 Na 3.97


(3)
Entry from the Alexandria database: CsTi2Te2 after structural relaxation (PBE).

Output
raw formation energy = -63.5 kJ/mol of atoms
VASP energy = -5.244 eV/atom
mass density = 5.31 g cm⁻³
N(E_F) = 4.7 states/eV/f.u.

Unit cell a=4.1869 b=4.1869 c=17.2770 alpha=90.00 beta=90.00 gamma=90.00
Closest atoms and distances in Å follow each position.
Atoms (fractional coordinates):
Cs: 0.0000 0.0000 0.0000  8 Te 3.85, 4 Cs 4.19
Cs: 0.5000 0.5000 0.5000  8 Te 3.85, 4 Cs 4.19
Ti: 0.0000 0.5000 0.2500  4 Te 2.80, 4 Ti 2.96
Ti: 0.0000 0.5000 0.7500  4 Te 2.80, 4 Ti 2.96
Ti: 0.5000 0.0000 0.2500  4 Te 2.80, 4 Ti 2.96
Ti: 0.5000 0.0000 0.7500  4 Te 2.80, 4 Ti 2.96
Te: 0.0000 0.0000 0.3575  4 Ti 2.80
Te: 0.0000 0.0000 0.6425  4 Ti 2.80
Te: 0.5000 0.5000 0.1425  4 Ti 2.80
Te: 0.5000 0.5000 0.8575  4 Ti 2.80


(4)
Entry from the Alexandria database: BaY2Pb2 after structural relaxation (PBE).

Output
E above lowest polymorph = 175 meV per atom
VASP energy = -4.705 eV/atom
mass density = 6.18 g cm⁻³
N(E_F) = 3.9 states/eV/f.u.

Unit cell a=5.8452 b=5.8452 c=11.4813 alpha=90.00 beta=90.00 gamma=90.00
Closest atoms and distances in Å follow each position.
Atoms (fractional coordinates):
Ba: 0.0000 0.0000 0.0000  2 Y 3.82, 8 Pb 4.10
Ba: 0.5000 0.5000 0.5000  2 Y 3.82, 8 Pb 4.10
Y: 0.0000 0.0000 0.3329  4 Pb 3.07
Y: 0.0000 0.0000 0.6671  4 Pb 3.07
Y: 0.5000 0.5000 0.1671  4 Pb 3.07
Y: 0.5000 0.5000 0.8329  4 Pb 3.07
Pb: 0.0000 0.5000 0.2500  4 Y 3.07
Pb: 0.0000 0.5000 0.7500  4 Y 3.07
Pb: 0.5000 0.0000 0.2500  4 Y 3.07
Pb: 0.5000 0.0000 0.7500  4 Y 3.07


(5)
Entry from the Alexandria database: Li8Zn2Cu after structural relaxation (PBE).

Output
E above lowest polymorph = 0 meV per atom
VASP energy = -1.985 eV/atom
mass density = 2.20 g cm⁻³
N(E_F) = 4.4 states/eV/f.u.

Unit cell a=7.1797 b=7.1797 c=4.7193 alpha=103.43 beta=103.43 gamma=119.08
Closest atoms and distances in Å follow each position.
Atoms (fractional coordinates):
Li: 0.0917 0.3164 0.6184  2 Zn 2.64-2.78, 4 Li 2.65-2.87, 1 Cu 2.95
Li: 0.2109 0.7891 0.0000  1 Cu 2.61, 2 Zn 2.66, 2 Li 2.87
Li: 0.3164 0.0917 0.6184  2 Zn 2.64-2.78, 4 Li 2.65-2.87, 1 Cu 2.95
Li: 0.3788 0.3788 0.1870  1 Cu 2.48, 3 Li 2.66-2.76, 2 Zn 2.71
Li: 0.6212 0.6212 0.8130  1 Cu 2.48, 3 Li 2.66-2.76, 2 Zn 2.71
Li: 0.6836 0.9083 0.3816  2 Zn 2.64-2.78, 4 Li 2.65-2.87, 1 Cu 2.95
Li: 0.7891 0.2109 0.0000  1 Cu 2.61, 2 Zn 2.66, 2 Li 2.87
Li: 0.9083 0.6836 0.3816  2 Zn 2.64-2.78, 4 Li 2.65-2.87, 1 Cu 2.95
Zn: 0.3096 0.6904 0.5000  8 Li 2.64-2.78
Zn: 0.6904 0.3096 0.5000  8 Li 2.64-2.78
Cu: 0.0000 0.0000 0.0000  4 Li 2.48-2.61


(6)
Entry from the Alexandria database: Ni3RhCl after structural relaxation (PBE).

Output
raw formation energy = 114.5 kJ/mol of atoms
E above lowest polymorph = 500 meV per atom
VASP energy = -4.122 eV/atom
mass density = 5.35 g cm⁻³
N(E_F) = 11.7 states/eV/f.u.

Unit cell a=4.6030 b=4.6030 c=4.6030 alpha=90.00 beta=90.00 gamma=90.00
Closest atoms and distances in Å follow each position.
Atoms (fractional coordinates):
Ni: 0.0000 0.0000 0.5000  2 Rh 2.30
Ni: 0.0000 0.5000 0.0000  2 Rh 2.30
Ni: 0.5000 0.0000 0.0000  2 Rh 2.30
Rh: 0.0000 0.0000 0.0000  6 Ni 2.30
Cl: 0.5000 0.5000 0.5000  12 Ni 3.25


(7)
Entry from the Alexandria database: NbHgBi2Pd after structural relaxation (PBE).

Output
VASP energy = -4.071 eV/atom
mass density = 8.97 g cm⁻³
N(E_F) = 4.8 states/eV/f.u.

Unit cell a=5.5061 b=5.5061 c=4.9945 alpha=90.00 beta=90.00 gamma=90.00
Closest atoms and distances in Å follow each position.
Atoms (fractional coordinates):
Nb: 0.0000 0.0000 0.0000  2 Pd 2.50, 4 Bi 2.75
Hg: 0.5000 0.5000 0.5000  8 Bi 3.72, 4 Pd 3.89
Bi: 0.0000 0.5000 0.0000  2 Nb 2.75
Bi: 0.5000 0.0000 0.0000  2 Nb 2.75
Pd: 0.0000 0.0000 0.5000  2 Nb 2.50


(8)
Entry from the Alexandria database: Al2In2F7 after structural relaxation (PBE).

Output
raw formation energy = -265.3 kJ/mol of atoms
VASP energy = -5.119 eV/atom
mass density = 3.52 g cm⁻³
N(E_F) = 2.5 states/eV/f.u.

Unit cell a=5.1622 b=5.1622 c=8.3617 alpha=101.58 beta=101.58 gamma=109.71
Closest atoms and distances in Å follow each position.
Atoms (fractional coordinates):
Al: 0.2390 0.2390 0.4133  4 F 1.70-1.81
Al: 0.7610 0.7610 0.5867  4 F 1.70-1.81
In: 0.3035 0.6965 0.0000  2 F 2.61
In: 0.6965 0.3035 0.0000  2 F 2.61
F: 0.0000 0.0000 0.5000  2 Al 1.81
F: 0.0175 0.6745 0.6986  1 Al 1.70
F: 0.3255 0.9825 0.3014  1 Al 1.70
F: 0.4569 0.4569 0.6240  2 Al 1.79-1.94
F: 0.5431 0.5431 0.3760  2 Al 1.79-1.94
F: 0.6745 0.0175 0.6986  1 Al 1.70
F: 0.9825 0.3255 0.3014  1 Al 1.70


(9)
Entry from the Alexandria database: Pa2Si6TcRu after structural relaxation (PBE).

Output
raw formation energy = -37.2 kJ/mol of atoms
VASP energy = -7.503 eV/atom
mass density = 7.74 g cm⁻³
N(E_F) = 8.8 states/eV/f.u.

Unit cell a=12.5965 b=12.5965 c=12.5965 alpha=26.71 beta=26.71 gamma=26.71
Closest atoms and distances in Å follow each position.
Atoms (fractional coordinates):
Pa: 0.1033 0.1033 0.1033  9 Si 3.06-3.12, 3 Ru 3.39
Pa: 0.2945 0.2945 0.2945  9 Si 2.92-3.09
Pa: 0.7055 0.7055 0.7055  9 Si 2.92-3.09
Pa: 0.8967 0.8967 0.8967  9 Si 3.06-3.12, 3 Ru 3.39
Si: 0.0661 0.6582 0.6582  2 Si 2.37, 1 Ru 2.41, 1 Tc 2.45
Si: 0.2312 0.2312 0.6476  1 Tc 2.37, 1 Ru 2.39, 2 Si 2.42
Si: 0.2312 0.6476 0.2312  1 Tc 2.37, 1 Ru 2.39, 2 Si 2.42
Si: 0.3418 0.3418 0.9339  2 Si 2.37, 1 Ru 2.41, 1 Tc 2.45
Si: 0.3418 0.9339 0.3418  2 Si 2.37, 1 Ru 2.41, 1 Tc 2.45
Si: 0.3524 0.7688 0.7688  1 Tc 2.37, 1 Ru 2.39, 2 Si 2.42
Si: 0.6476 0.2312 0.2312  1 Tc 2.37, 1 Ru 2.39, 2 Si 2.42
Si: 0.6582 0.0661 0.6582  2 Si 2.37, 1 Ru 2.41, 1 Tc 2.45
Si: 0.6582 0.6582 0.0661  2 Si 2.37, 1 Ru 2.41, 1 Tc 2.45
Si: 0.7688 0.3524 0.7688  1 Tc 2.37, 1 Ru 2.39, 2 Si 2.42
Si: 0.7688 0.7688 0.3524  1 Tc 2.37, 1 Ru 2.39, 2 Si 2.42
Si: 0.9339 0.3418 0.3418  2 Si 2.37, 1 Ru 2.41, 1 Tc 2.45
Tc: 0.0000 0.0000 0.0000  6 Si 2.37
Tc: 0.5000 0.5000 0.5000  6 Si 2.45
Ru: 0.4234 0.4234 0.4234  6 Si 2.39-2.41
Ru: 0.5766 0.5766 0.5766  6 Si 2.39-2.41


(10)
Entry from the Alexandria database: AlTlOs2 after structural relaxation (PBE).

Output
E above lowest polymorph = 389 meV per atom
VASP energy = -6.526 eV/atom
mass density = 15.58 g cm⁻³
N(E_F) = 4.2 states/eV/f.u.

Unit cell a=4.6279 b=2.9728 c=5.0971 alpha=90.00 beta=111.59 gamma=90.00
Closest atoms and distances in Å follow each position.
Atoms (fractional coordinates):
Al: 0.0000 0.0000 0.0000  6 Os 2.74-2.75, 4 Tl 2.95, 2 Al 2.97
Tl: 0.0000 0.5000 0.5000  6 Os 2.74-2.75, 4 Al 2.95, 2 Tl 2.97
Os: 0.5000 0.0000 0.5000  2 Al 2.74, 4 Tl 2.75, 6 Os 2.95-2.97
Os: 0.5000 0.5000 0.0000  2 Tl 2.74, 4 Al 2.75, 6 Os 2.95-2.97


(11)
Entry from the Alexandria database: TaNbRhAu after structural relaxation (PBE).

Output
VASP energy = -8.407 eV/atom
mass density = 13.83 g cm⁻³
N(E_F) = 2.3 states/eV/f.u.

Unit cell a=3.3059 b=3.3059 c=6.3036 alpha=90.00 beta=90.00 gamma=90.00
Closest atoms and distances in Å follow each position.
Atoms (fractional coordinates):
Ta: 0.0000 0.0000 0.0000  4 Rh 2.66, 4 Nb 2.94, 1 Au 2.97
Nb: 0.5000 0.5000 0.2836  4 Au 2.80, 4 Ta 2.94, 1 Rh 3.06
Rh: 0.5000 0.5000 0.7984  4 Ta 2.66, 4 Au 2.89
Au: 0.0000 0.0000 0.5294  4 Nb 2.80, 4 Rh 2.89, 1 Ta 2.97


(12)
Entry from the Alexandria database: Ac2PmInS6 after structural relaxation (PBE).

Output
raw formation energy = -162.1 kJ/mol of atoms
VASP energy = -5.727 eV/atom
mass density = 5.35 g cm⁻³
N(E_F) = 0.0 states/eV/f.u.

Unit cell a=7.4390 b=7.4390 c=7.4390 alpha=58.51 beta=58.51 gamma=58.51
Closest atoms and distances in Å follow each position.
Atoms (fractional coordinates):
Ac: 0.0000 0.0000 0.0000  6 S 2.99-3.04
Ac: 0.4986 0.4986 0.4986  6 S 2.96-3.08
Pm: 0.7168 0.7168 0.7168  6 S 2.74-2.85
In: 0.2158 0.2158 0.2158  6 S 2.62-2.72
S: 0.0790 0.8576 0.4242  1 In 2.72, 1 Pm 2.74, 2 Ac 2.96-3.04
S: 0.3468 0.5644 0.9388  1 In 2.62, 1 Pm 2.85
S: 0.4242 0.0790 0.8576  1 In 2.72, 1 Pm 2.74, 2 Ac 2.96-3.04
S: 0.5644 0.9388 0.3468  1 In 2.62, 1 Pm 2.85
S: 0.8576 0.4242 0.0790  1 In 2.72, 1 Pm 2.74, 2 Ac 2.96-3.04
S: 0.9388 0.3468 0.5644  1 In 2.62, 1 Pm 2.85


> mass density of number 4 (BaY2Pb2)?

6.18 g cm⁻³


> Among the records above, which one has the highest mass density?

AlTlOs2